[1]
# Cs2SiCl

Cs2SiCl after structural relaxation (PBE-GGA, Alexandria).

* offset from the most stable computed form: 14 meV per atom

Geometry as CIF:
```
data_Cs2SiCl
_chemical_formula_sum 'Cs8 Si4 Cl4'
_space_group_name_H-M_alt 'I -4 2 d'
_space_group_IT_number 122
_space_group_name_Hall 'I -4 2bw'
_cell_length_a 9.3437
_cell_length_b 9.3437
_cell_length_c 10.8786
_cell_angle_alpha 90.00
_cell_angle_beta 90.00
_cell_angle_gamma 90.00
loop_
_atom_site_label
_atom_site_fract_x
_atom_site_fract_y
_atom_site_fract_z
Cs1 0.2156 0.2500 0.1250
Si1 0.0000 0.0000 0.5000
Cl1 0.0000 0.0000 0.0000
```

[2]
# Cs2SiCl

Cs2SiCl after structural relaxation (PBE-GGA, Alexandria).

* offset from the most stable computed form: 0 meV per atom

Geometry as CIF:
```
data_Cs2SiCl
_chemical_formula_sum 'Cs8 Si4 Cl4'
_space_group_name_H-M_alt 'F m -3 m'
_space_group_IT_number 225
_space_group_name_Hall '-F 4 2 3'
_cell_length_a 8.8631
_cell_length_b 8.8631
_cell_length_c 8.8631
_cell_angle_alpha 90.00
_cell_angle_beta 90.00
_cell_angle_gamma 90.00
loop_
_atom_site_label
_atom_site_fract_x
_atom_site_fract_y
_atom_site_fract_z
Cs1 0.2500 0.2500 0.2500
Si1 0.0000 0.0000 0.0000
Cl1 0.0000 0.0000 0.5000
```

[3]
# Cs3SiCl7

Cs3SiCl7 after structural relaxation (PBE-GGA, Alexandria).

* N(E_F): 0.0 states/eV per cell

Geometry as CIF:
```
data_Cs3SiCl7
_chemical_formula_sum 'Cs6 Si2 Cl14'
_space_group_name_H-M_alt 'P 4/m b m'
_space_group_IT_number 127
_space_group_name_Hall '-P 4 2ab'
_cell_length_a 10.0653
_cell_length_b 10.0653
_cell_length_c 7.2836
_cell_angle_alpha 90.00
_cell_angle_beta 90.00
_cell_angle_gamma 90.00
loop_
_atom_site_label
_atom_site_fract_x
_atom_site_fract_y
_atom_site_fract_z
Cs1 0.0000 0.0000 0.0000
Cs2 0.1811 0.3189 0.5000
Si1 0.0000 0.5000 0.0000
Cl1 0.0000 0.0000 0.5000
Cl2 0.1115 0.6115 0.2186
Cl3 0.1565 0.3435 0.0000
```

Formation energy without anion corrections values, unit eV per atom, following the record order: -0.384 -0.398 -1.596.